# 1
Material: La2PrTh2
Method: DFT, PBE-GGA
State: relaxed

Structure (POSCAR):
```
La2PrTh2
1.0
-2.4067 2.4067 7.7128
2.4067 -2.4067 7.7128
2.4067 2.4067 -7.7128
La Pr Th
2 1 2
Direct
0.1004 0.1004 0.0000 La
0.8996 0.8996 0.0000 La
0.5000 0.5000 0.0000 Pr
0.2500 0.7500 0.5000 Th
0.7500 0.2500 0.5000 Th
```

Calculated values
- Total moment: 0.0 μB per formula unit
- ΔH_f (0 K): 0.347 eV per atom
- Offset from the most stable computed form: 31.34 kJ/mol of atoms
- Space group: I4/mmm, No. 139

# 2
Material: LaPr8Th4
Method: DFT, PBE-GGA
State: relaxed

Structure (POSCAR):
```
LaPr8Th4
1.0
5.9582 3.4400 3.9405
-5.9582 3.4400 3.9405
0.0000 -6.8800 3.9405
La Pr Th
1 8 4
Direct
0.0000 0.0000 0.0000 La
0.1710 0.6666 0.6666 Pr
0.2529 0.2529 0.2529 Pr
0.3334 0.3334 0.8290 Pr
0.3334 0.8290 0.3334 Pr
0.6666 0.1710 0.6666 Pr
0.6666 0.6666 0.1710 Pr
0.7471 0.7471 0.7471 Pr
0.8290 0.3334 0.3334 Pr
0.0000 0.0000 0.5000 Th
0.0000 0.5000 0.0000 Th
0.5000 0.0000 0.0000 Th
0.5000 0.5000 0.5000 Th
```

Calculated values
- Total moment: 0.0 μB per formula unit
- ΔH_f (0 K): 0.488 eV per atom
- Space group: R-3m, No. 166